Entry 1:
MgFe2BPd: optimized geometry, GGA-PBE.

a b c (Å): 4.492 4.492 4.492
angles (deg): 90.00 90.00 90.00
Site moments in Bohr magnetons follow the coordinates.
Positions (direct):
Fe 0.500 0.000 0.000  2.83
Fe 0.000 0.000 0.500  2.98
Pd 0.000 0.500 0.000  0.08
Mg 0.000 0.000 0.000  -0.05
B 0.500 0.500 0.500  -0.04

Computed properties:
Volume: 18.1 Å³ per atom
ΔH_f (0 K): 10.171 eV/f.u.
SG: P4/mmm, No. 123

***

Entry 2:
Ca2ScHgO: optimized geometry, GGA-PBE.

a b c (Å): 4.980 4.980 4.277
angles (deg): 90.00 90.00 90.00
Positions (direct):
Hg 0.500 0.500 0.500
Sc 0.000 0.000 0.500
Ca 0.000 0.500 0.000
Ca 0.500 0.000 0.000
O 0.000 0.000 0.000

Computed properties:
Uncorrected formation energy: -1.36 eV per atom
Volume: 21.2 Å³ per atom
SG: P4/mmm, No. 123

***

Entry 3:
Nd2AlGa3Rh4: optimized geometry, GGA-PBE.

a b c (Å): 4.294 4.294 10.154
angles (deg): 90.00 90.00 90.00
Positions (direct):
Al 0.500 0.500 0.500
Rh 0.500 0.000 0.628
Rh 0.000 0.500 0.372
Rh 0.000 0.000 0.000
Rh 0.500 0.500 0.000
Nd 0.000 0.500 0.762
Nd 0.500 0.000 0.238
Ga 0.000 0.500 0.126
Ga 0.000 0.000 0.500
Ga 0.500 0.000 0.874

Computed properties:
Volume: 18.7 Å³ per atom
ΔH_f (0 K): -8.256 eV/f.u.
SG: P-4m2, No. 115

***

Entry 4:
BaCaCr2: optimized geometry, GGA-PBE.

a b c (Å): 3.530 3.530 9.168
angles (deg): 90.00 90.00 90.00
Site moments in Bohr magnetons follow the coordinates.
Positions (direct):
Cr 0.500 0.500 0.157  -3.19
Cr 0.000 0.000 0.074  3.09
Ba 0.000 0.000 0.443  0.01
Ca 0.500 0.500 0.826  -0.02

Computed properties:
Volume: 28.6 Å³ per atom
ΔH_f (0 K): 2.196 eV/f.u.
SG: P4mm, No. 99
Offset from the most stable computed form: 59 meV/atom